Entry 1:
First-principles (PBE) data for a relaxed structure of ZrTcPb2, as listed in Alexandria via LeMat-Bulk.

Lattice parameters (Å, degrees): 5.6489 5.6489 3.2287 100.94 100.94 112.37
With the nearest neighbours (Å) after each atom.
Element x y z (fractional)
Zr 0.0000 0.0000 0.0000  4 Pb 2.98, 2 Tc 3.14, 2 Zr 3.23
Tc 0.5000 0.5000 0.0000  4 Pb 2.98, 2 Zr 3.14, 2 Tc 3.23
Pb 0.0000 0.5000 0.5000  2 Zr 2.98, 2 Tc 2.98, 4 Pb 3.14-3.23
Pb 0.5000 0.0000 0.5000  2 Zr 2.98, 2 Tc 2.98, 4 Pb 3.14-3.23

Output
As for the energy above the most stable polymorph in this dataset: 0.373 eV/atom. For the theoretical density, the calculation gives 11.19 g/cm3.



Entry 2:
First-principles (PBE) data for a relaxed structure of Sc2Pd3Au4, as listed in Alexandria via LeMat-Bulk.

Lattice parameters (Å, degrees): 5.1160 5.1160 8.6568 108.82 108.82 47.31
With the nearest neighbours (Å) after each atom.
Element x y z (fractional)
Sc 0.1720 0.1720 0.2327  5 Pd 2.81-2.93, 7 Au 2.90-2.97
Sc 0.8280 0.8280 0.7673  5 Pd 2.81-2.93, 7 Au 2.90-2.97
Pd 0.1666 0.1666 0.5568  3 Sc 2.81-2.82, 6 Au 2.86-2.96, 3 Pd 2.93-2.95
Pd 0.5000 0.5000 0.0000  8 Au 2.88-2.94, 4 Sc 2.93
Pd 0.8334 0.8334 0.4432  3 Sc 2.81-2.82, 6 Au 2.86-2.96, 3 Pd 2.93-2.95
Au 0.1649 0.1649 0.8898  4 Au 2.87-2.89, 4 Pd 2.89-2.94, 4 Sc 2.95-2.97
Au 0.4950 0.4950 0.6657  6 Pd 2.86-2.96, 3 Au 2.89-2.90, 3 Sc 2.90-2.93
Au 0.5050 0.5050 0.3343  6 Pd 2.86-2.96, 3 Au 2.89-2.90, 3 Sc 2.90-2.93
Au 0.8351 0.8351 0.1102  4 Au 2.87-2.89, 4 Pd 2.89-2.94, 4 Sc 2.95-2.97

Output
Its total energy is -0.3868 Ry/atom. For the theoretical density, the calculation gives 12.75 g/cm3.



Entry 3:
First-principles (PBE) data for a relaxed structure of PmTmGaSi, as listed in Alexandria via LeMat-Bulk.

Lattice parameters (Å, degrees): 3.9777 5.8302 5.8302 43.65 90.00 90.00
With the nearest neighbours (Å) after each atom.
Element x y z (fractional)
Pm 0.0000 0.0000 0.0000  4 Ga 3.04, 3 Si 3.04-3.21
Tm 0.5000 0.2810 0.2810  4 Si 3.02, 3 Ga 3.13-3.15
Ga 0.5000 0.5701 0.5701  2 Si 2.56
Si 0.0000 0.7191 0.7191  2 Ga 2.56

Output
As for the energy above the most stable polymorph in this dataset: 0.000 eV/atom. The value obtained for the uncorrected formation energy is -2.87 eV per formula unit. For the theoretical density, the calculation gives 7.33 g/cm3.



Density of states at the Fermi level: 0.944, 0.506, 0.776 (states/eV per atom)